(1)
{
  "formula": "Sr2IrOsSe",
  "functional": "GGA-PBE",
  "state": "optimized geometry",
  "spacegroup": "P4/mmm, No. 123",
  "total_magnetization_mub_per_atom": 0.241,
  "energy_ev_per_atom": -4.860,
  "lattice": [[5.8725, 0.0000, 0.0000], [0.0000, 5.8725, 0.0000], [0.0000, 0.0000, 4.5021]],
  "species": ["Sr", "Sr", "Ir", "Os", "Se"],
  "frac_coords": [[0.0000, 0.5000, 0.0000], [0.5000, 0.0000, 0.0000], [0.0000, 0.0000, 0.5000], [0.5000, 0.5000, 0.0000], [0.5000, 0.5000, 0.5000]]
}

(2)
{
  "formula": "Th8Ir3OsSe4",
  "functional": "GGA-PBE",
  "state": "optimized geometry",
  "spacegroup": "C2/m, No. 12",
  "total_magnetization_mub_per_atom": 0.000,
  "energy_ev_per_atom": -8.203,
  "lattice": [[7.1597, -4.1329, 0.0000], [7.1597, 4.1329, 0.0000], [-4.7742, 0.0000, 7.3530]],
  "species": ["Th", "Th", "Th", "Th", "Th", "Th", "Th", "Th", "Ir", "Ir", "Ir", "Os", "Se", "Se", "Se", "Se"],
  "frac_coords": [[0.2369, 0.2369, 0.7158], [0.2379, 0.7421, 0.7166], [0.2579, 0.7621, 0.2834], [0.2611, 0.2611, 0.2844], [0.7389, 0.7389, 0.7156], [0.7421, 0.2379, 0.7166], [0.7621, 0.2579, 0.2834], [0.7631, 0.7631, 0.2842], [0.0000, 0.5000, 0.5000], [0.5000, 0.0000, 0.5000], [0.5000, 0.5000, 0.5000], [0.0000, 0.0000, 0.5000], [0.0000, 0.0000, 0.0000], [0.0000, 0.5000, 0.0000], [0.5000, 0.0000, 0.0000], [0.5000, 0.5000, 0.0000]]
}

(3)
{
  "formula": "Th6Ir3Os2Se",
  "functional": "GGA-PBE",
  "state": "optimized geometry",
  "spacegroup": "C2/m, No. 12",
  "total_magnetization_mub_per_atom": 0.000,
  "energy_ev_per_atom": -8.893,
  "lattice": [[9.0062, -2.0570, 0.0000], [9.0062, 2.0570, 0.0000], [-1.9689, 0.0000, 8.2052]],
  "species": ["Th", "Th", "Th", "Th", "Th", "Th", "Ir", "Ir", "Ir", "Os", "Os", "Se"],
  "frac_coords": [[0.0051, 0.0051, 0.2688], [0.3255, 0.3255, 0.9077], [0.3327, 0.3327, 0.4199], [0.6673, 0.6673, 0.5801], [0.6745, 0.6745, 0.0923], [0.9949, 0.9949, 0.7312], [0.1594, 0.1594, 0.8328], [0.5000, 0.5000, 0.5000], [0.8406, 0.8406, 0.1672], [0.1653, 0.1653, 0.3298], [0.8347, 0.8347, 0.6702], [0.5000, 0.5000, 0.0000]]
}

(4)
{
  "formula": "Th8IrOs3Se4",
  "functional": "GGA-PBE",
  "state": "optimized geometry",
  "spacegroup": "R-3m, No. 166",
  "total_magnetization_mub_per_atom": 0.000,
  "energy_ev_per_atom": -8.335,
  "lattice": [[4.1327, 2.3860, 7.3456], [-4.1327, 2.3860, 7.3456], [0.0000, -4.7720, 7.3456]],
  "species": ["Th", "Th", "Th", "Th", "Th", "Th", "Th", "Th", "Ir", "Os", "Os", "Os", "Se", "Se", "Se", "Se"],
  "frac_coords": [[0.2347, 0.7394, 0.7394], [0.2379, 0.2379, 0.2379], [0.2606, 0.2606, 0.7653], [0.2606, 0.7653, 0.2606], [0.7394, 0.2347, 0.7394], [0.7394, 0.7394, 0.2347], [0.7621, 0.7621, 0.7621], [0.7653, 0.2606, 0.2606], [0.5000, 0.5000, 0.5000], [0.0000, 0.0000, 0.5000], [0.0000, 0.5000, 0.0000], [0.5000, 0.0000, 0.0000], [0.0000, 0.0000, 0.0000], [0.0000, 0.5000, 0.5000], [0.5000, 0.0000, 0.5000], [0.5000, 0.5000, 0.0000]]
}

(5)
{
  "formula": "Th4IrOsSe2",
  "functional": "GGA-PBE",
  "state": "optimized geometry",
  "spacegroup": "P2/m, No. 10",
  "total_magnetization_mub_per_atom": 0.000,
  "energy_ev_per_atom": -8.261,
  "lattice": [[7.1564, 0.0000, 0.0000], [0.0000, 4.1360, 0.0000], [-2.3934, 0.0000, 7.3506]],
  "species": ["Th", "Th", "Th", "Th", "Ir", "Os", "Se", "Se"],
  "frac_coords": [[0.2358, 0.0000, 0.2145], [0.2579, 0.5000, 0.7855], [0.7421, 0.5000, 0.2145], [0.7642, 0.0000, 0.7855], [0.5000, 0.0000, 0.0000], [0.0000, 0.5000, 0.0000], [0.0000, 0.0000, 0.5000], [0.5000, 0.5000, 0.5000]]
}

(6)
{
  "formula": "Th6IrOs2Se3",
  "functional": "GGA-PBE",
  "state": "optimized geometry",
  "spacegroup": "C2/m, No. 12",
  "total_magnetization_mub_per_atom": 0.000,
  "energy_ev_per_atom": -8.309,
  "lattice": [[9.4765, -2.0654, 0.0000], [9.4765, 2.0654, 0.0000], [-2.6972, 0.0000, 8.3325]],
  "species": ["Th", "Th", "Th", "Th", "Th", "Th", "Ir", "Os", "Os", "Se", "Se", "Se"],
  "frac_coords": [[0.0092, 0.0092, 0.2326], [0.3250, 0.3250, 0.4374], [0.3397, 0.3397, 0.8937], [0.6603, 0.6603, 0.1063], [0.6750, 0.6750, 0.5626], [0.9908, 0.9908, 0.7674], [0.5000, 0.5000, 0.0000], [0.1663, 0.1663, 0.3325], [0.8337, 0.8337, 0.6675], [0.1661, 0.1661, 0.8337], [0.5000, 0.5000, 0.5000], [0.8339, 0.8339, 0.1663]]
}